Entry 1:
Compound: YWSe2
Source: the Alexandria database
Functional: PBE
Structure: optimized geometry Values from VASP.

Geometry as Quantum ESPRESSO input:
```
&SYSTEM
  ibrav = 0, nat = 4, ntyp = 3
/
ATOMIC_SPECIES
Y 88.91 Y.upf
Se 78.96 Se.upf
W 183.84 W.upf
CELL_PARAMETERS angstrom
-3.2286 -0.4835 -0.5885
-0.1558 -0.8364 3.2062
-1.2755 6.5220 1.6394
ATOMIC_POSITIONS crystal
Y 0.5000 0.5000 0.7500
Se 0.0000 0.0000 0.0264
Se 0.0000 0.0000 0.4736
W 0.5000 0.5000 0.2500
```

Computed properties:
For the total magnetization, the calculation gives 0.00 μB/f.u. As for the space group: Cmmm (65). The calculation puts the energy at -6.851 eV/atom. The crystal system is orthorhombic. The calculation puts the offset from the most stable computed form at 284.9 meV per atom. The uncorrected formation energy comes out at -0.254 eV per atom.



Entry 2:
Compound: Hf2Bi2H
Source: the Alexandria database
Functional: PBE
Structure: optimized geometry Values from VASP.

Geometry as Quantum ESPRESSO input:
```
&SYSTEM
  ibrav = 0, nat = 10, ntyp = 3
/
ATOMIC_SPECIES
Hf 178.49 Hf.upf
H 1.01 H.upf
Bi 208.98 Bi.upf
CELL_PARAMETERS angstrom
3.2136 0.0000 0.0000
-1.6068 5.5635 0.0000
0.0000 0.0000 11.8889
ATOMIC_POSITIONS crystal
Hf 0.7708 0.5417 0.5808
Hf 0.2292 0.4583 0.0808
Hf 0.0192 0.0384 0.9203
Hf 0.9808 0.9616 0.4203
H 0.6305 0.2611 0.9948
H 0.3695 0.7389 0.4948
Bi 0.7025 0.4051 0.3271
Bi 0.0426 0.0851 0.6622
Bi 0.2975 0.5949 0.8271
Bi 0.9574 0.9149 0.1622
```

Computed properties:
For the total magnetization, the calculation gives 0.00 μB/f.u. As for the space group: Cmc2_1 (36). The calculation puts the energy at -6.202 eV/atom. The crystal system is orthorhombic.



Entry 3:
Compound: FeRu2RhN
Source: the Alexandria database
Functional: PBE
Structure: optimized geometry Values from VASP.

Geometry as Quantum ESPRESSO input:
```
&SYSTEM
  ibrav = 0, nat = 5, ntyp = 4
/
ATOMIC_SPECIES
N 14.01 N.upf
Rh 102.91 Rh.upf
Ru 101.07 Ru.upf
Fe 55.84 Fe.upf
CELL_PARAMETERS angstrom
-1.2083 -3.4940 1.5133
-1.4713 -1.0359 -3.5665
3.3411 -1.5566 -0.9262
ATOMIC_POSITIONS crystal
N 0.0000 0.0000 0.0000
Rh 0.5000 0.5000 0.5000
Ru 0.0000 0.5000 0.0000
Ru 0.5000 0.0000 0.0000
Fe 0.0000 0.0000 0.5000
```

Computed properties:
For the total magnetization, the calculation gives 0.00 μB/f.u. As for the space group: P4/mmm (123). The calculation puts the energy at -8.286 eV/atom. The crystal system is tetragonal. The uncorrected formation energy comes out at 0.252 eV per atom.



Entry 4:
Compound: CaDy8Ho6
Source: the Alexandria database
Functional: PBE
Structure: optimized geometry Values from VASP.

Geometry as Quantum ESPRESSO input:
```
&SYSTEM
  ibrav = 0, nat = 15, ntyp = 3
/
ATOMIC_SPECIES
Dy 162.50 Dy.upf
Ca 40.08 Ca.upf
Ho 164.93 Ho.upf
CELL_PARAMETERS angstrom
7.6074 -0.2997 2.8494
1.8729 7.3794 2.8494
-0.4013 -0.2997 8.1136
ATOMIC_POSITIONS crystal
Dy 0.2405 0.2405 0.2405
Dy 0.1346 0.6240 0.9497
Dy 0.0503 0.8654 0.3760
Dy 0.7595 0.7595 0.7595
Dy 0.8654 0.3760 0.0503
Dy 0.9497 0.1346 0.6240
Dy 0.6240 0.9497 0.1346
Dy 0.3760 0.0503 0.8654
Ca 0.0000 0.0000 0.0000
Ho 0.3827 0.8237 0.5617
Ho 0.5617 0.3827 0.8237
Ho 0.6173 0.1763 0.4383
Ho 0.4383 0.6173 0.1763
Ho 0.8237 0.5617 0.3827
Ho 0.1763 0.4383 0.6173
```

Computed properties:
For the total magnetization, the calculation gives 0.00 μB/f.u. The calculation puts the formation energy at 0.20 eV per atom. As for the space group: R-3 (148). The calculation puts the energy at -4.217 eV/atom. The crystal system is trigonal.



Entry 5:
Compound: Mo3H12Pd5
Source: the Alexandria database
Functional: PBE
Structure: optimized geometry Values from VASP.

Geometry as Quantum ESPRESSO input:
```
&SYSTEM
  ibrav = 0, nat = 80, ntyp = 3
/
ATOMIC_SPECIES
H 1.01 H.upf
Mo 95.94 Mo.upf
Pd 106.42 Pd.upf
CELL_PARAMETERS angstrom
9.5131 0.0000 0.0000
-3.1710 8.9690 0.0000
-3.1710 -4.4845 7.7674
ATOMIC_POSITIONS crystal
H 0.4161 0.2702 0.3323
H 0.1677 0.0838 0.9380
H 0.5838 0.9380 0.6677
H 0.8542 0.2702 0.4380
H 0.2702 0.4161 0.8323
H 0.1458 0.4161 0.0838
H 0.3542 0.9380 0.7702
H 0.7702 0.3323 0.9161
H 0.9380 0.3542 0.2702
H 0.4380 0.6677 0.0838
H 0.0838 0.1677 0.4380
H 0.0838 0.9161 0.1458
H 0.7298 0.5839 0.1677
H 0.0620 0.6458 0.7298
H 0.2702 0.8542 0.9380
H 0.9380 0.5838 0.1677
H 0.0839 0.9162 0.3542
H 0.8323 0.9161 0.2702
H 0.5839 0.7298 0.6677
H 0.5838 0.6458 0.4161
H 0.6677 0.4380 0.5838
H 0.4161 0.1458 0.5838
H 0.7298 0.1458 0.0620
H 0.2298 0.5620 0.6458
H 0.5839 0.8542 0.4162
H 0.6458 0.0620 0.2298
H 0.5620 0.3323 0.9162
H 0.3323 0.5620 0.4162
H 0.0620 0.4162 0.8323
H 0.8323 0.9162 0.0620
H 0.4162 0.0620 0.3323
H 0.8542 0.5839 0.9162
H 0.4380 0.7702 0.8542
H 0.9161 0.0838 0.6458
H 0.3323 0.7702 0.4161
H 0.5620 0.2298 0.1458
H 0.6677 0.2298 0.5839
H 0.1458 0.7298 0.5620
H 0.6458 0.5838 0.9161
H 0.2298 0.6677 0.0839
H 0.4162 0.3542 0.5839
H 0.9161 0.8323 0.7702
H 0.7702 0.4380 0.3542
H 0.1677 0.0839 0.7298
H 0.0839 0.1677 0.2298
H 0.3542 0.4162 0.0839
H 0.9162 0.8323 0.5620
H 0.9162 0.0839 0.8542
Mo 0.8750 0.7500 0.1250
Mo 0.6250 0.2500 0.3750
Mo 0.6250 0.3750 0.7500
Mo 0.1250 0.8750 0.7500
Mo 0.3750 0.6250 0.2500
Mo 0.8750 0.1250 0.2500
Mo 0.2500 0.6250 0.8750
Mo 0.1250 0.2500 0.8750
Mo 0.3750 0.7500 0.6250
Mo 0.7500 0.8750 0.6250
Mo 0.2500 0.1250 0.3750
Mo 0.7500 0.3750 0.1250
Pd 0.0000 0.5000 0.5000
Pd 0.5000 0.0000 0.5000
Pd 0.7500 0.1250 0.8750
Pd 0.0000 0.0000 0.5000
Pd 0.6250 0.7500 0.8750
Pd 0.7500 0.6250 0.3750
Pd 0.2500 0.8750 0.1250
Pd 0.8750 0.2500 0.6250
Pd 0.6250 0.8750 0.2500
Pd 0.5000 0.5000 0.0000
Pd 0.3750 0.2500 0.1250
Pd 0.2500 0.3750 0.6250
Pd 0.3750 0.1250 0.7500
Pd 0.5000 0.0000 0.0000
Pd 0.1250 0.3750 0.2500
Pd 0.0000 0.0000 0.0000
Pd 0.1250 0.7500 0.3750
Pd 0.5000 0.5000 0.5000
Pd 0.8750 0.6250 0.7500
Pd 0.0000 0.5000 0.0000
```

Computed properties:
For the total magnetization, the calculation gives 0.00 μB/f.u. As for the space group: Ia-3d (230). The calculation puts the energy at -4.800 eV/atom. The crystal system is cubic.



Entry 6:
Compound: MgPSe2
Source: the Alexandria database
Functional: PBE
Structure: optimized geometry Values from VASP.

Geometry as Quantum ESPRESSO input:
```
&SYSTEM
  ibrav = 0, nat = 8, ntyp = 3
/
ATOMIC_SPECIES
Mg 24.30 Mg.upf
Se 78.96 Se.upf
P 30.97 P.upf
CELL_PARAMETERS angstrom
-0.9910 5.2843 0.9073
-2.5098 -1.2726 4.6702
4.3185 2.5582 6.2007
ATOMIC_POSITIONS crystal
Mg 0.2500 0.7500 0.5000
Mg 0.5000 0.5000 0.0000
Se 0.3750 0.3515 0.7500
Se 0.8750 0.8985 0.7500
Se 0.6485 0.1250 0.2500
Se 0.1015 0.6250 0.2500
P 0.7500 0.2500 0.5000
P 0.0000 0.0000 0.0000
```

Computed properties:
For the total magnetization, the calculation gives 0.00 μB/f.u. As for the space group: I-42d (122). The calculation puts the energy at -3.704 eV/atom. The crystal system is tetragonal. The calculation puts the offset from the most stable computed form at 204.3 meV per atom. The uncorrected formation energy comes out at -0.211 eV per atom.



Entry 7:
Compound: K4PuNp3O12
Source: the Alexandria database
Functional: PBE
Structure: optimized geometry Values from VASP.

Geometry as Quantum ESPRESSO input:
```
&SYSTEM
  ibrav = 0, nat = 20, ntyp = 4
/
ATOMIC_SPECIES
Pu 244.00 Pu.upf
O 16.00 O.upf
Np 237.00 Np.upf
K 39.10 K.upf
CELL_PARAMETERS angstrom
7.4455 0.0000 0.0000
-2.4818 7.0197 0.0000
-2.4818 -3.5098 6.0792
ATOMIC_POSITIONS crystal
Pu 0.0000 0.0000 0.0000
O 0.7500 0.2500 0.5000
O 0.7420 0.7420 0.0000
O 0.0000 0.2580 0.2580
O 0.7420 0.0000 0.7420
O 0.5000 0.7500 0.2500
O 0.5000 0.2500 0.7500
O 0.2500 0.5000 0.7500
O 0.2580 0.2580 0.0000
O 0.2500 0.7500 0.5000
O 0.2580 0.0000 0.2580
O 0.7500 0.5000 0.2500
O 0.0000 0.7420 0.7420
Np 0.5000 0.0000 0.5000
Np 0.0000 0.5000 0.5000
Np 0.5000 0.5000 0.0000
K 0.0000 0.5000 0.0000
K 0.5000 0.5000 0.5000
K 0.0000 0.0000 0.5000
K 0.5000 0.0000 0.0000
```

Computed properties:
For the total magnetization, the calculation gives 9.00 μB/f.u. As for the space group: Im-3m (229). The calculation puts the energy at -8.534 eV/atom. The crystal system is cubic. The uncorrected formation energy comes out at -2.682 eV per atom.



Entry 8:
Compound: ErHf2Zn9
Source: the Alexandria database
Functional: PBE
Structure: optimized geometry Values from VASP.

Geometry as Quantum ESPRESSO input:
```
&SYSTEM
  ibrav = 0, nat = 12, ntyp = 3
/
ATOMIC_SPECIES
Zn 65.41 Zn.upf
Er 167.26 Er.upf
Hf 178.49 Hf.upf
CELL_PARAMETERS angstrom
-4.7645 -0.6232 -2.1496
-0.5179 -2.6142 -4.5395
-2.7303 -8.2072 1.9857
ATOMIC_POSITIONS crystal
Zn 0.3353 0.3353 0.9941
Zn 0.4105 0.9225 0.2566
Zn 0.9225 0.4105 0.2566
Zn 0.5000 0.5000 0.5000
Zn 0.0775 0.5895 0.7434
Zn 0.5895 0.0775 0.7434
Zn 0.4105 0.4105 0.2566
Zn 0.5895 0.5895 0.7434
Zn 0.6647 0.6647 0.0059
Er 0.0000 0.0000 0.0000
Hf 0.8562 0.8562 0.4315
Hf 0.1438 0.1438 0.5685
```

Computed properties:
For the total magnetization, the calculation gives 1.49 μB/f.u. The calculation puts the formation energy at -0.25 eV per atom. As for the space group: R-3m (166). The calculation puts the energy at -3.240 eV/atom. The crystal system is trigonal.